i | Computed, not measured: Ho2PSe after structural relaxation at the PBE level of DFT.

Structure (extended XYZ):
```
8
Lattice="4.004 0.000 0.000 0.000 5.672 0.000 0.000 0.000 8.126" Properties=species:S:1:pos:R:3 pbc="T T T"
Ho 1.001 1.418 0.899
Ho 1.001 1.418 5.263
Ho 3.003 4.254 2.863
Ho 3.003 4.254 7.227
P 1.001 4.254 1.011
P 3.003 1.418 7.115
Se 1.001 4.254 5.038
Se 3.003 1.418 3.087
```

Values from the calculation:
Space group ... Pmmn, No. 59
Magnetization ... 0.00 μB/f.u.

=====

ii | Computed, not measured: Ho2PSe after structural relaxation at the PBE level of DFT.

Structure (extended XYZ):
```
8
Lattice="3.988 0.000 0.000 0.000 6.855 0.000 0.000 0.000 6.976" Properties=species:S:1:pos:R:3 pbc="T T T"
Ho 0.997 0.021 1.613
Ho 0.997 3.406 1.613
Ho 2.991 3.448 5.363
Ho 2.991 6.834 5.363
P 0.997 5.141 6.383
P 2.991 1.714 0.593
Se 0.997 1.714 4.045
Se 2.991 5.141 2.931
```

Values from the calculation:
Space group ... Pmmn, No. 59
Magnetization ... 0.00 μB/f.u.

=====

iii | Computed, not measured: Ho2PSe after structural relaxation at the PBE level of DFT.

Structure (extended XYZ):
```
4
Lattice="1.973 1.139 6.937 -1.973 1.139 6.937 0.000 -2.278 6.937" Properties=species:S:1:pos:R:3 pbc="T T T"
Ho 0.000 0.000 0.000
Ho 0.000 0.000 3.853
P 0.000 0.000 12.298
Se 0.000 0.000 15.823
```

Values from the calculation:
Space group ... R3m, No. 160
Magnetization ... 0.00 μB/f.u.

=====

Quick one: most stable of them? i

=====

i | Computed, not measured: Ho2SiP after structural relaxation at the PBE level of DFT.

Structure (extended XYZ):
```
8
Lattice="2.063 -11.027 0.000 2.063 11.027 0.000 0.000 0.000 3.878" Properties=species:S:1:pos:R:3 pbc="T T T"
Ho 2.063 9.557 2.909
Ho 2.063 4.121 2.909
Ho 2.063 -4.121 0.970
Ho 2.063 -9.557 0.970
Si 2.063 0.813 2.909
Si 2.063 -0.813 0.970
P 2.063 6.875 2.909
P 2.063 -6.875 0.970
```

Values from the calculation:
Space group ... Cmcm, No. 63
Magnetization ... 0.00 μB/f.u.

=====

ii | Computed, not measured: Ho2SiP after structural relaxation at the PBE level of DFT.

Structure (extended XYZ):
```
4
Lattice="1.952 1.127 7.020 -1.952 1.127 7.020 0.000 -2.254 7.020" Properties=species:S:1:pos:R:3 pbc="T T T"
Ho 0.000 0.000 5.146
Ho 0.000 0.000 15.914
Si 0.000 0.000 0.000
P 0.000 0.000 10.530
```

Values from the calculation:
Space group ... R-3m, No. 166
Magnetization ... 0.00 μB/f.u.

=====

Quick one: most stable of them? i

=====

i | Computed, not measured: TbHoP after structural relaxation at the PBE level of DFT.

Structure (extended XYZ):
```
12
Lattice="7.486 0.000 0.000 0.000 3.837 0.000 0.000 0.000 10.149" Properties=species:S:1:pos:R:3 pbc="T T T"
Tb 0.197 0.959 1.981
Tb 3.546 2.878 7.055
Tb 3.940 0.959 3.094
Tb 7.289 2.878 8.168
Ho 1.310 2.878 4.620
Ho 2.433 0.959 9.694
Ho 5.053 2.878 0.455
Ho 6.176 0.959 5.529
P 1.327 0.959 6.802
P 2.416 2.878 1.727
P 5.070 0.959 8.422
P 6.159 2.878 3.347
```

Values from the calculation:
Space group ... Pnma, No. 62
Magnetization ... 0.00 μB/f.u.

=====

ii | Computed, not measured: TbHoP after structural relaxation at the PBE level of DFT.

Structure (extended XYZ):
```
3
Lattice="3.899 0.000 0.000 -1.949 3.377 0.000 0.000 0.000 6.360" Properties=species:S:1:pos:R:3 pbc="T T T"
Tb 0.000 0.000 0.000
Ho 0.000 2.251 3.171
P 1.949 1.126 1.604
```

Values from the calculation:
Space group ... P3m1, No. 156
Magnetization ... 0.03 μB/f.u.

=====

Quick one: most stable of them? i